A plane-wave DFT calculation with PBE was carried out for a geometry-optimized LaTa structure.

Computed properties:
As for the crystal system: hexagonal. As for the calculated formation energy: 0.458 eV/atom. As for the symmetry: P6_3/mmc.

a = 8.5994 Å, b = 8.5994 Å, c = 5.2585 Å
α = 90.00°, β = 90.00°, γ = 120.00°
Positions (direct):
La 0.1698 0.3396 0.7500
La 0.8302 0.6604 0.2500
La 0.6604 0.8302 0.7500
La 0.8302 0.1698 0.2500
La 0.1698 0.8302 0.7500
La 0.3396 0.1698 0.2500
Ta 0.5596 0.4404 0.7500
Ta 0.8807 0.4404 0.7500
Ta 0.4404 0.5596 0.2500
Ta 0.4404 0.8807 0.2500
Ta 0.5596 0.1193 0.7500
Ta 0.1193 0.5596 0.2500



A plane-wave DFT calculation with PBE was carried out for a geometry-optimized Pm2Ho3TmSe6 structure.

Computed properties:
The formation energy without anion corrections comes out at -1.7494 eV/atom. As for the crystal system: monoclinic. As for the symmetry: C2/m.

a = 4.0755 Å, b = 8.2448 Å, c = 9.1610 Å
α = 103.09°, β = 102.85°, γ = 90.00°
Positions (direct):
Se 0.6633 0.0730 0.3266
Se 0.9963 0.2449 0.9927
Se 0.3367 0.9270 0.6734
Se 0.3378 0.4096 0.6755
Se 0.0037 0.7551 0.0073
Se 0.6622 0.5904 0.3245
Ho 0.5000 0.5000 0.0000
Ho 0.8286 0.1663 0.6573
Ho 0.1714 0.8337 0.3427
Pm 0.8306 0.6629 0.6612
Pm 0.1694 0.3371 0.3388
Tm 0.5000 0.0000 0.0000



Q: Which calculated density values were calculated for the entries above? A: 9.46, 8.12, in g/cm3.